TlInIr2 | PBE-GGA | relaxed

CIF file:
```
data_TlInIr2
_chemical_formula_sum 'Tl1 In1 Ir2'
_space_group_name_H-M_alt 'P m m 2'
_space_group_IT_number 25
_space_group_name_Hall 'P 2 -2'
_cell_length_a 3.049
_cell_length_b 4.175
_cell_length_c 5.775
_cell_angle_alpha 90.00
_cell_angle_beta 90.00
_cell_angle_gamma 90.00
loop_
_atom_site_label
_atom_site_type_symbol
_atom_site_fract_x
_atom_site_fract_y
_atom_site_fract_z
Tl1 Tl 0.000 0.000 0.000
In1 In 0.500 0.500 0.332
Ir1 Ir 0.000 0.000 0.509
Ir2 Ir 0.500 0.500 0.809
```

TlIn2Ir2 | PBE-GGA | relaxed

CIF file:
```
data_TlIn2Ir2
_chemical_formula_sum 'Tl2 In4 Ir4'
_space_group_name_H-M_alt 'I 4/m m m'
_space_group_IT_number 139
_space_group_name_Hall '-I 4 2'
_cell_length_a 4.305
_cell_length_b 4.305
_cell_length_c 11.772
_cell_angle_alpha 90.00
_cell_angle_beta 90.00
_cell_angle_gamma 90.00
loop_
_atom_site_label
_atom_site_type_symbol
_atom_site_fract_x
_atom_site_fract_y
_atom_site_fract_z
Tl1 Tl 0.000 0.000 0.000
In1 In 0.000 0.500 0.250
Ir1 Ir 0.000 0.000 0.393
```

Tl3InIr | PBE-GGA | relaxed

CIF file:
```
data_Tl3InIr
_chemical_formula_sum 'Tl3 In1 Ir1'
_space_group_name_H-M_alt 'P m -3 m'
_space_group_IT_number 221
_space_group_name_Hall '-P 4 2 3'
_cell_length_a 5.318
_cell_length_b 5.318
_cell_length_c 5.318
_cell_angle_alpha 90.00
_cell_angle_beta 90.00
_cell_angle_gamma 90.00
loop_
_atom_site_label
_atom_site_type_symbol
_atom_site_fract_x
_atom_site_fract_y
_atom_site_fract_z
Tl1 Tl 0.000 0.000 0.500
In1 In 0.500 0.500 0.500
Ir1 Ir 0.000 0.000 0.000
```

TlInIr2 | PBE-GGA | relaxed

CIF file:
```
data_TlInIr2
_chemical_formula_sum 'Tl2 In2 Ir4'
_space_group_name_H-M_alt 'C 1 2/m 1'
_space_group_IT_number 12
_space_group_name_Hall '-C 2y'
_cell_length_a 8.892
_cell_length_b 3.115
_cell_length_c 5.418
_cell_angle_alpha 90.00
_cell_angle_beta 101.34
_cell_angle_gamma 90.00
loop_
_atom_site_label
_atom_site_type_symbol
_atom_site_fract_x
_atom_site_fract_y
_atom_site_fract_z
Tl1 Tl 0.000 0.000 0.000
In1 In 0.000 0.500 0.500
Ir1 Ir 0.246 0.000 0.730
```

TlInIr2 | PBE-GGA | relaxed

CIF file:
```
data_TlInIr2
_chemical_formula_sum 'Tl3 In3 Ir6'
_space_group_name_H-M_alt 'R -3 m'
_space_group_IT_number 166
_space_group_name_Hall '-R 3 2"'
_cell_length_a 3.1096
_cell_length_b 3.1096
_cell_length_c 26.1931
_cell_angle_alpha 90.00
_cell_angle_beta 90.00
_cell_angle_gamma 120.00
loop_
_atom_site_label
_atom_site_type_symbol
_atom_site_fract_x
_atom_site_fract_y
_atom_site_fract_z
Tl1 Tl 0.0000 0.0000 0.0000
In1 In 0.0000 0.0000 0.5000
Ir1 Ir 0.0000 0.0000 0.2472
```

Tl2InIr2 | PBE-GGA | relaxed

CIF file:
```
data_Tl2InIr2
_chemical_formula_sum 'Tl4 In2 Ir4'
_space_group_name_H-M_alt 'I 4/m m m'
_space_group_IT_number 139
_space_group_name_Hall '-I 4 2'
_cell_length_a 3.665
_cell_length_b 3.665
_cell_length_c 18.232
_cell_angle_alpha 90.00
_cell_angle_beta 90.00
_cell_angle_gamma 90.00
loop_
_atom_site_label
_atom_site_type_symbol
_atom_site_fract_x
_atom_site_fract_y
_atom_site_fract_z
Tl1 Tl 0.000 0.000 0.123
In1 In 0.000 0.000 0.500
Ir1 Ir 0.000 0.500 0.250
```

TlInIr2 | PBE-GGA | relaxed

CIF file:
```
data_TlInIr2
_chemical_formula_sum 'Tl4 In4 Ir8'
_space_group_name_H-M_alt 'F m -3 m'
_space_group_IT_number 225
_space_group_name_Hall '-F 4 2 3'
_cell_length_a 6.584
_cell_length_b 6.584
_cell_length_c 6.584
_cell_angle_alpha 90.00
_cell_angle_beta 90.00
_cell_angle_gamma 90.00
loop_
_atom_site_label
_atom_site_type_symbol
_atom_site_fract_x
_atom_site_fract_y
_atom_site_fract_z
Tl1 Tl 0.000 0.000 0.000
In1 In 0.000 0.000 0.500
Ir1 Ir 0.250 0.250 0.250
```

TlInIr2 | PBE-GGA | relaxed

CIF file:
```
data_TlInIr2
_chemical_formula_sum 'Tl4 In4 Ir8'
_space_group_name_H-M_alt 'F -4 3 m'
_space_group_IT_number 216
_space_group_name_Hall 'F -4 2 3'
_cell_length_a 6.639
_cell_length_b 6.639
_cell_length_c 6.639
_cell_angle_alpha 90.00
_cell_angle_beta 90.00
_cell_angle_gamma 90.00
loop_
_atom_site_label
_atom_site_type_symbol
_atom_site_fract_x
_atom_site_fract_y
_atom_site_fract_z
Tl1 Tl 0.000 0.000 0.000
In1 In 0.250 0.250 0.250
Ir1 Ir 0.000 0.000 0.500
Ir2 Ir 0.250 0.250 0.750
```

TlIn4Ir | PBE-GGA | relaxed

CIF file:
```
data_TlIn4Ir
_chemical_formula_sum 'Tl4 In16 Ir4'
_space_group_name_H-M_alt 'F -4 3 m'
_space_group_IT_number 216
_space_group_name_Hall 'F -4 2 3'
_cell_length_a 8.417
_cell_length_b 8.417
_cell_length_c 8.417
_cell_angle_alpha 90.00
_cell_angle_beta 90.00
_cell_angle_gamma 90.00
loop_
_atom_site_label
_atom_site_type_symbol
_atom_site_fract_x
_atom_site_fract_y
_atom_site_fract_z
Tl1 Tl 0.000 0.000 0.000
In1 In 0.124 0.124 0.624
Ir1 Ir 0.250 0.250 0.250
```

TlInIr2 | PBE-GGA | relaxed

CIF file:
```
data_TlInIr2
_chemical_formula_sum 'Tl2 In2 Ir4'
_space_group_name_H-M_alt 'I m m 2'
_space_group_IT_number 44
_space_group_name_Hall 'I 2 -2'
_cell_length_a 2.937
_cell_length_b 4.675
_cell_length_c 11.109
_cell_angle_alpha 90.00
_cell_angle_beta 90.00
_cell_angle_gamma 90.00
loop_
_atom_site_label
_atom_site_type_symbol
_atom_site_fract_x
_atom_site_fract_y
_atom_site_fract_z
Tl1 Tl 0.000 0.000 0.000
In1 In 0.000 0.500 0.198
Ir1 Ir 0.000 0.000 0.455
Ir2 Ir 0.000 0.500 0.754
```

Tl2InIr2 | PBE-GGA | relaxed

CIF file:
```
data_Tl2InIr2
_chemical_formula_sum 'Tl4 In2 Ir4'
_space_group_name_H-M_alt 'I 4/m m m'
_space_group_IT_number 139
_space_group_name_Hall '-I 4 2'
_cell_length_a 4.289
_cell_length_b 4.289
_cell_length_c 12.181
_cell_angle_alpha 90.00
_cell_angle_beta 90.00
_cell_angle_gamma 90.00
loop_
_atom_site_label
_atom_site_type_symbol
_atom_site_fract_x
_atom_site_fract_y
_atom_site_fract_z
Tl1 Tl 0.000 0.500 0.250
In1 In 0.000 0.000 0.000
Ir1 Ir 0.000 0.000 0.399
```

TlInIr2 | PBE-GGA | relaxed

CIF file:
```
data_TlInIr2
_chemical_formula_sum 'Tl2 In2 Ir4'
_space_group_name_H-M_alt 'I 4/m m m'
_space_group_IT_number 139
_space_group_name_Hall '-I 4 2'
_cell_length_a 4.386
_cell_length_b 4.386
_cell_length_c 7.391
_cell_angle_alpha 90.00
_cell_angle_beta 90.00
_cell_angle_gamma 90.00
loop_
_atom_site_label
_atom_site_type_symbol
_atom_site_fract_x
_atom_site_fract_y
_atom_site_fract_z
Tl1 Tl 0.000 0.000 0.000
In1 In 0.000 0.000 0.500
Ir1 Ir 0.000 0.500 0.250
```

no.,calculated formation energy (meV/atom),N(E_F) (states/eV/f.u.)
1,395,2.2
2,195,3.3
3,204,3.1
4,397,3.4
5,381,3.3
6,442,4.5
7,315,3.2
8,595,5.7
9,572,5.7
10,336,3.0
11,523,2.9
12,288,1.7